TaBe2Os: relaxed, PBE.

Output
As for the final energy: -7.64 eV/atom. The magnetic moment comes out at 0.0 Bohr magnetons per cell.

Structure (CIF):
```
data_TaBe2Os
_cell_length_a 2.982
_cell_length_b 2.982
_cell_length_c 5.785
_cell_angle_alpha 90.00
_cell_angle_beta 90.00
_cell_angle_gamma 90.00
_space_group_name_H-M_alt 'P 4 m m'
_space_group_IT_number 99
_space_group_name_Hall 'P 4 -2'
loop_
_atom_site_label
_atom_site_type_symbol
_atom_site_fract_x
_atom_site_fract_y
_atom_site_fract_z
_atom_site_occupancy
Ta1 Ta 0.000 0.000 0.000 1
Be1 Be 0.000 0.000 0.500 1
Be2 Be 0.500 0.500 0.303 1
Os1 Os 0.500 0.500 0.718 1
```



Tc2TePt: relaxed, PBE.

Output
As for the final energy: -7.23 eV/atom. As for the uncorrected formation energy: 0.2499 eV/atom. The magnetic moment comes out at 0.0 Bohr magnetons per cell.

Structure (CIF):
```
data_Tc2TePt
_cell_length_a 3.024
_cell_length_b 3.802
_cell_length_c 5.933
_cell_angle_alpha 90.00
_cell_angle_beta 90.06
_cell_angle_gamma 90.00
_space_group_name_H-M_alt 'P 1 m 1'
_space_group_IT_number 6
_space_group_name_Hall 'P -2y'
loop_
_atom_site_label
_atom_site_type_symbol
_atom_site_fract_x
_atom_site_fract_y
_atom_site_fract_z
_atom_site_occupancy
Tc1 Tc 0.000 0.000 0.000 1
Tc2 Tc 0.496 0.500 0.198 1
Te1 Te 0.998 0.000 0.460 1
Pt1 Pt 0.499 0.500 0.752 1
```



Pm4Tm3Sc2: relaxed, PBE.

Output
As for the final energy: -4.95 eV/atom. The magnetic moment comes out at 0.0 Bohr magnetons per cell.

Structure (CIF):
```
data_Pm4Tm3Sc2
_cell_length_a 16.713
_cell_length_b 9.503
_cell_length_c 6.932
_cell_angle_alpha 90.00
_cell_angle_beta 90.03
_cell_angle_gamma 90.00
_space_group_name_H-M_alt 'C 1 2/c 1'
_space_group_IT_number 15
_space_group_name_Hall '-C 2yc'
loop_
_atom_site_label
_atom_site_type_symbol
_atom_site_fract_x
_atom_site_fract_y
_atom_site_fract_z
_atom_site_occupancy
Pm1 Pm 0.017 0.167 0.000 1
Pm2 Pm 0.160 0.322 0.499 1
Tm1 Tm 0.000 0.500 0.250 1
Tm2 Tm 0.175 0.000 0.250 1
Sc1 Sc 0.175 0.344 0.000 1
```



Er2AlCr: relaxed, PBE.

Output
As for the final energy: -5.66 eV/atom. The magnetic moment comes out at 3.6 Bohr magnetons per cell.

Structure (CIF):
```
data_Er2AlCr
_cell_length_a 4.971
_cell_length_b 4.971
_cell_length_c 3.668
_cell_angle_alpha 90.00
_cell_angle_beta 90.00
_cell_angle_gamma 90.00
_space_group_name_H-M_alt 'P 4/m m m'
_space_group_IT_number 123
_space_group_name_Hall '-P 4 2'
loop_
_atom_site_label
_atom_site_type_symbol
_atom_site_fract_x
_atom_site_fract_y
_atom_site_fract_z
_atom_site_occupancy
Er1 Er 0.000 0.500 0.000 1
Al1 Al 0.000 0.000 0.500 1
Cr1 Cr 0.500 0.500 0.500 1
```



AlReIrPb2: relaxed, PBE.

Output
As for the final energy: -5.22 eV/atom. The magnetic moment comes out at 2.1 Bohr magnetons per cell.

Structure (CIF):
```
data_AlReIrPb2
_cell_length_a 5.242
_cell_length_b 5.242
_cell_length_c 4.766
_cell_angle_alpha 90.00
_cell_angle_beta 90.00
_cell_angle_gamma 90.00
_space_group_name_H-M_alt 'P 4/m m m'
_space_group_IT_number 123
_space_group_name_Hall '-P 4 2'
loop_
_atom_site_label
_atom_site_type_symbol
_atom_site_fract_x
_atom_site_fract_y
_atom_site_fract_z
_atom_site_occupancy
Al1 Al 0.000 0.000 0.000 1
Re1 Re 0.000 0.000 0.500 1
Ir1 Ir 0.500 0.500 0.000 1
Pb1 Pb 0.000 0.500 0.500 1
```



Tm2B2Rh5Au: relaxed, PBE.

Output
As for the final energy: -6.96 eV/atom. The magnetic moment comes out at 0.0 Bohr magnetons per cell.

Structure (CIF):
```
data_Tm2B2Rh5Au
_cell_length_a 9.549
_cell_length_b 9.549
_cell_length_c 3.220
_cell_angle_alpha 90.00
_cell_angle_beta 90.00
_cell_angle_gamma 90.00
_space_group_name_H-M_alt 'P 4/m b m'
_space_group_IT_number 127
_space_group_name_Hall '-P 4 2ab'
loop_
_atom_site_label
_atom_site_type_symbol
_atom_site_fract_x
_atom_site_fract_y
_atom_site_fract_z
_atom_site_occupancy
Tm1 Tm 0.176 0.324 0.000 1
B1 B 0.123 0.623 0.000 1
Rh1 Rh 0.000 0.500 0.500 1
Rh2 Rh 0.071 0.774 0.500 1
Au1 Au 0.000 0.000 0.000 1
```



Which of these has the highest final energy? Pm4Tm3Sc2